Entry from Alexandria via LeMat-Bulk: V3O7 after structural relaxation (GGA+U).

Values from the calculation:
Calculated total energy: -7.5613 eV/atom

Cell lengths 11.481, 11.481, 18.707 Å; angles 95.27, 95.27, 18.52 degrees
Positions (direct):
V 0.007 0.604 0.558
V 0.076 0.581 0.375
V 0.092 0.587 0.746
V 0.204 0.796 0.750
V 0.218 0.718 0.555
V 0.282 0.782 0.945
V 0.396 0.993 0.942
V 0.413 0.908 0.754
V 0.419 0.924 0.125
V 0.581 0.076 0.875
V 0.587 0.092 0.246
V 0.604 0.007 0.058
V 0.718 0.218 0.055
V 0.782 0.282 0.445
V 0.796 0.204 0.250
V 0.908 0.413 0.254
V 0.924 0.419 0.625
V 0.993 0.396 0.442
O 0.037 0.533 0.451
O 0.050 0.548 0.664
O 0.066 0.548 0.059
O 0.068 0.564 0.846
O 0.075 0.579 0.269
O 0.141 0.647 0.561
O 0.143 0.650 0.408
O 0.162 0.661 0.736
O 0.228 0.727 0.026
O 0.247 0.751 0.859
O 0.249 0.753 0.641
O 0.256 0.744 0.250
O 0.273 0.772 0.474
O 0.339 0.838 0.764
O 0.350 0.857 0.092
O 0.353 0.859 0.939
O 0.421 0.925 0.231
O 0.436 0.932 0.654
O 0.452 0.934 0.441
O 0.452 0.950 0.836
O 0.467 0.963 0.049
O 0.533 0.037 0.951
O 0.548 0.050 0.164
O 0.548 0.066 0.559
O 0.564 0.068 0.346
O 0.579 0.075 0.769
O 0.647 0.141 0.061
O 0.650 0.143 0.908
O 0.661 0.162 0.236
O 0.727 0.228 0.526
O 0.744 0.256 0.750
O 0.751 0.247 0.359
O 0.753 0.249 0.141
O 0.772 0.273 0.974
O 0.838 0.339 0.264
O 0.857 0.350 0.592
O 0.859 0.353 0.439
O 0.925 0.421 0.731
O 0.932 0.436 0.154
O 0.934 0.452 0.941
O 0.950 0.452 0.336
O 0.963 0.467 0.549